*a*
{
  "formula": "CdHgOs2",
  "functional": "SCAN",
  "state": "PBEsol geometry",
  "cell": [[-1.343, -3.603, 0.589], [1.563, 0.000, 3.562], [-3.822, 3.452, -0.447]],
  "species": ["Os", "Os", "Cd", "Hg"],
  "fractional_positions": [[0.750, 0.250, 0.500], [0.250, 0.750, 0.500], [0.500, 0.500, 0.000], [0.000, 0.000, 0.000]],
  "dos_ef_per_ev_cell": 4.6,
  "volume_a3_per_atom": 16.56
}

---

*b*
{
  "formula": "CdHgOs2",
  "functional": "SCAN",
  "state": "PBEsol geometry",
  "cell": [[-1.252, 0.941, 2.310], [-0.567, -2.588, -0.878], [7.300, -3.413, 5.348]],
  "species": ["Cd", "Os", "Os", "Hg"],
  "fractional_positions": [[0.500, 0.500, 0.500], [0.000, 0.000, 0.252], [0.000, 0.000, 0.748], [0.500, 0.500, 0.000]],
  "dos_ef_per_ev_cell": 4.2,
  "volume_a3_per_atom": 16.50
}

---

Relative energy table, unit meV/atom: *a* 140; *b* 0

---

*a*
{
  "formula": "Cd2Hg2Pb",
  "functional": "SCAN",
  "state": "PBEsol geometry",
  "cell": [[-0.569, -0.111, 3.305], [6.710, -4.950, 0.989], [4.843, 6.777, 1.062]],
  "species": ["Hg", "Hg", "Hg", "Hg", "Pb", "Pb", "Cd", "Cd", "Cd", "Cd"],
  "fractional_positions": [[0.000, 0.369, 0.869], [0.000, 0.131, 0.369], [0.000, 0.631, 0.131], [0.000, 0.869, 0.631], [0.000, 0.000, 0.000], [0.000, 0.500, 0.500], [0.500, 0.666, 0.834], [0.500, 0.334, 0.166], [0.500, 0.166, 0.666], [0.500, 0.834, 0.334]],
  "dos_ef_per_ev_cell": 3.9,
  "volume_a3_per_atom": 23.66
}

---

*b*
{
  "formula": "Cd2Hg2Pb",
  "functional": "SCAN",
  "state": "PBEsol geometry",
  "cell": [[-4.037, -0.222, 1.288], [0.855, -3.612, 2.057], [3.167, 5.451, 3.877]],
  "species": ["Hg", "Hg", "Pb", "Cd", "Cd"],
  "fractional_positions": [[0.603, 0.603, 0.207], [0.397, 0.397, 0.793], [0.000, 0.000, 0.000], [0.750, 0.250, 0.500], [0.250, 0.750, 0.500]],
  "dos_ef_per_ev_cell": 2.3,
  "volume_a3_per_atom": 24.37
}

---

Relative energy table, unit meV/atom: *a* 0; *b* 17

---

*a*
{
  "formula": "CdHgPt",
  "functional": "SCAN",
  "state": "PBEsol geometry",
  "cell": [[-2.719, 0.368, -1.006], [-0.702, -4.573, 0.224], [-0.987, 2.677, 3.649]],
  "species": ["Hg", "Pt", "Cd"],
  "fractional_positions": [[0.621, 0.333, 0.667], [0.380, 0.667, 0.333], [0.999, 0.000, 0.000]],
  "dos_ef_per_ev_cell": 0.9,
  "volume_a3_per_atom": 18.10
}

---

*b*
{
  "formula": "CdHgPt",
  "functional": "SCAN",
  "state": "PBEsol geometry",
  "cell": [[2.978, 0.000, 0.000], [0.000, 2.978, 0.000], [-1.489, -1.489, 6.179]],
  "species": ["Cd", "Hg", "Pt"],
  "fractional_positions": [[0.988, 0.988, 0.976], [0.675, 0.675, 0.351], [0.337, 0.337, 0.674]],
  "dos_ef_per_ev_cell": 1.1,
  "volume_a3_per_atom": 18.27
}

---

Relative energy table, unit meV/atom: *a* 8; *b* 0

---

*a*
{
  "formula": "Rb2Cd2Hg",
  "functional": "SCAN",
  "state": "PBEsol geometry",
  "cell": [[-0.491, 2.553, 3.247], [-3.994, -1.127, 0.282], [4.949, -8.643, 4.878]],
  "species": ["Rb", "Rb", "Cd", "Cd", "Hg"],
  "fractional_positions": [[0.605, 0.605, 0.211], [0.395, 0.395, 0.789], [0.750, 0.250, 0.500], [0.250, 0.750, 0.500], [0.000, 0.000, 0.000]],
  "dos_ef_per_ev_cell": 2.3,
  "volume_a3_per_atom": 37.00
}

---

*b*
{
  "formula": "Rb2Cd2Hg",
  "functional": "SCAN",
  "state": "PBEsol geometry",
  "cell": [[-2.210, -5.300, -0.182], [5.442, -2.441, 5.016], [-4.705, 1.757, 5.959]],
  "species": ["Rb", "Rb", "Rb", "Rb", "Cd", "Cd", "Cd", "Cd", "Hg", "Hg"],
  "fractional_positions": [[0.500, 0.820, 0.320], [0.500, 0.680, 0.820], [0.500, 0.180, 0.680], [0.500, 0.320, 0.180], [0.000, 0.867, 0.633], [0.000, 0.133, 0.367], [0.000, 0.633, 0.133], [0.000, 0.367, 0.867], [0.000, 0.000, 0.000], [0.000, 0.500, 0.500]],
  "dos_ef_per_ev_cell": 5.5,
  "volume_a3_per_atom": 34.90
}

---

Relative energy table, unit meV/atom: *a* 0; *b* 17